The following is a PBE calculation of crystalline HfRe2Rh at its relaxed geometry, from Alexandria via LeMat-Bulk.

The structure in POSCAR format:
```
HfRe2Rh
1.0
-1.5315 -4.1398 6.0435
-5.1295 -3.8017 -3.9041
-1.5556 -5.6478 0.3708
Re Hf Rh
4 2 2
direct
0.5959 0.1250 0.2500 Re
0.1541 0.6250 0.2500 Re
0.3750 0.4041 0.7500 Re
0.8750 0.8459 0.7500 Re
0.0000 0.0000 0.0000 Hf
0.7500 0.2500 0.5000 Hf
0.5000 0.5000 0.0000 Rh
0.2500 0.7500 0.5000 Rh
```

Results
E above lowest polymorph   0.276 eV per atom
DFT formation energy   480 meV/atom
Space group   I-42d (122)



The following is a PBE calculation of crystalline SbMoRh at its relaxed geometry, from Alexandria via LeMat-Bulk.

The structure in POSCAR format:
```
SbMoRh
1.0
6.0809 -0.0035 0.0037
5.3291 2.9299 0.0107
0.7518 0.1878 2.9273
Mo Rh Sb
1 1 1
direct
0.9883 0.9883 0.0117 Mo
0.3460 0.3460 0.6540 Rh
0.6657 0.6657 0.3343 Sb
```

Results
Space group   I4mm (107)
Formation energy without anion corrections   0.0805 eV per atom



The following is a PBE calculation of crystalline HfP2HO at its relaxed geometry, from Alexandria via LeMat-Bulk.

The structure in POSCAR format:
```
HfP2HO
1.0
5.1753 0.0000 0.0000
0.0000 5.1753 0.0000
0.0000 0.0000 3.9835
P Hf O H
2 1 1 1
direct
0.0000 0.5000 0.0000 P
0.5000 0.0000 0.0000 P
0.0000 0.0000 0.0000 Hf
0.0000 0.0000 0.5000 O
0.5000 0.5000 0.5000 H
```

Results
E above lowest polymorph   0.656 eV per atom
Space group   P4/mmm (123)



The following is a PBE calculation of crystalline Sm8Zn2Rh at its relaxed geometry, from Alexandria via LeMat-Bulk.

The structure in POSCAR format:
```
Sm8Zn2Rh
1.0
5.1786 0.0000 0.0000
0.0000 6.7849 0.4588
-2.5893 -2.3636 8.6263
Sm Zn Rh
8 2 1
direct
0.4108 0.5612 0.8217 Sm
0.6565 0.9605 0.3129 Sm
0.7987 0.6812 0.5974 Sm
0.9718 0.2204 0.9437 Sm
0.2013 0.3188 0.4026 Sm
0.3435 0.0395 0.6871 Sm
0.5892 0.4388 0.1783 Sm
0.0282 0.7796 0.0563 Sm
0.8057 0.2564 0.6114 Zn
0.1943 0.7436 0.3886 Zn
0.5000 0.0000 0.0000 Rh
```

Results
DFT formation energy   -229 meV/atom
Space group   C2/m (12)



The evaluated theoretical density for the records listed, in turn: 15.26 10.20 4.01 7.73 g cm⁻³.
The evaluated magnetic moment for the records listed, in turn: 0.000 0.000 0.466 0.000 μB per atom.